(1)
Entry from Alexandria via LeMat-Bulk: a relaxed structure of Pa4ReTc (GGA-PBE).

Cell: 6.6485 6.6832 6.9609 Å, 90.00 90.00 90.00°
Last column: nearest neighbours and their distance in Å.
Element x y z (fractional)
Pa 0.1575 0.1822 0.0000  1 Tc 2.56, 1 Re 2.74
Pa 0.1575 0.3178 0.5000  1 Tc 2.56, 1 Re 2.74
Pa 0.2838 0.7171 0.1162  2 Re 2.70-2.93, 1 Tc 2.98
Pa 0.2838 0.7829 0.6162  2 Re 2.70-2.93, 1 Tc 2.98
Pa 0.7162 0.2171 0.6162  2 Re 2.70-2.93, 1 Tc 2.98
Pa 0.7162 0.2829 0.1162  2 Re 2.70-2.93, 1 Tc 2.98
Pa 0.8425 0.6822 0.5000  1 Tc 2.56, 1 Re 2.74
Pa 0.8425 0.8178 0.0000  1 Tc 2.56, 1 Re 2.74
Re 0.5000 0.0000 0.8705  6 Pa 2.70-2.93
Re 0.5000 0.5000 0.3705  6 Pa 2.70-2.93
Tc 0.0000 0.0000 0.3594  2 Pa 2.56
Tc 0.0000 0.5000 0.8594  2 Pa 2.56

Summary:
As for the symmetry: Pnc2. For the energy of formation, the calculation gives 0.248 eV per atom.

(2)
Entry from Alexandria via LeMat-Bulk: a relaxed structure of Pa8Re3Tc2 (GGA-PBE).

Cell: 7.9441 7.9441 5.2370 Å, 100.22 100.22 65.75°
Last column: nearest neighbours and their distance in Å.
Element x y z (fractional)
Pa 0.1013 0.6650 0.9641  2 Tc 2.81-2.90, 2 Re 2.87-2.93, 2 Pa 2.88-3.06
Pa 0.1318 0.1318 0.4597  1 Tc 2.84, 2 Re 2.85, 3 Pa 2.88-3.01
Pa 0.3350 0.8987 0.0359  2 Tc 2.81-2.90, 2 Re 2.87-2.93, 2 Pa 2.88-3.06
Pa 0.3572 0.3572 0.4620  1 Tc 2.66, 2 Re 2.82
Pa 0.6428 0.6428 0.5380  1 Tc 2.66, 2 Re 2.82
Pa 0.6650 0.1013 0.9641  2 Tc 2.81-2.90, 2 Re 2.87-2.93, 2 Pa 2.88-3.06
Pa 0.8682 0.8682 0.5403  1 Tc 2.84, 2 Re 2.85, 3 Pa 2.88-3.01
Pa 0.8987 0.3350 0.0359  2 Tc 2.81-2.90, 2 Re 2.87-2.93, 2 Pa 2.88-3.06
Re 0.2552 0.7448 0.5000  6 Pa 2.82-2.93
Re 0.5000 0.5000 0.0000  6 Pa 2.87-3.05, 2 Tc 3.10
Re 0.7448 0.2552 0.5000  6 Pa 2.82-2.93
Tc 0.2646 0.2646 0.9604  6 Pa 2.66-2.90
Tc 0.7354 0.7354 0.0396  6 Pa 2.66-2.90

Summary:
As for the symmetry: C2/m. For the energy of formation, the calculation gives 0.020 eV per atom.

(3)
Entry from Alexandria via LeMat-Bulk: a relaxed structure of PaReTc (GGA-PBE).

Cell: 3.4395 3.4395 9.3130 Å, 90.00 90.00 90.00°
Last column: nearest neighbours and their distance in Å.
Element x y z (fractional)
Pa 0.2500 0.2500 0.2303  4 Tc 2.71, 4 Re 3.03
Pa 0.7500 0.7500 0.7697  4 Tc 2.71, 4 Re 3.03
Re 0.2500 0.2500 0.5753  4 Re 2.81, 1 Tc 3.00, 4 Pa 3.03
Re 0.7500 0.7500 0.4247  4 Re 2.81, 1 Tc 3.00, 4 Pa 3.03
Tc 0.2500 0.2500 0.8974  4 Pa 2.71, 1 Re 3.00
Tc 0.7500 0.7500 0.1026  4 Pa 2.71, 1 Re 3.00

Summary:
As for the symmetry: P4/nmm. For the energy of formation, the calculation gives 0.201 eV per atom. Its offset from the most stable computed form is 396 meV per atom.

(4)
Entry from Alexandria via LeMat-Bulk: a relaxed structure of Pa8ReTc2 (GGA-PBE).

Cell: 8.8533 8.8533 5.9724 Å, 109.31 109.31 34.85°
Last column: nearest neighbours and their distance in Å.
Element x y z (fractional)
Pa 0.0113 0.0113 0.2525  1 Tc 2.66, 1 Pa 2.91
Pa 0.2117 0.2117 0.0902  1 Tc 2.83, 3 Pa 3.04-3.14
Pa 0.3272 0.3272 0.6870  1 Tc 2.61, 1 Re 2.87
Pa 0.4033 0.4033 0.3102  1 Re 2.86, 2 Pa 2.95-3.04, 2 Tc 3.03
Pa 0.5967 0.5967 0.6898  1 Re 2.86, 2 Pa 2.95-3.04, 2 Tc 3.03
Pa 0.6728 0.6728 0.3130  1 Tc 2.61, 1 Re 2.87
Pa 0.7883 0.7883 0.9098  1 Tc 2.83, 3 Pa 3.04-3.14
Pa 0.9887 0.9887 0.7475  1 Tc 2.66, 1 Pa 2.91
Re 0.5000 0.5000 0.0000  8 Pa 2.86-3.02
Tc 0.1644 0.1644 0.5867  3 Pa 2.61-2.83
Tc 0.8356 0.8356 0.4133  3 Pa 2.61-2.83

Summary:
As for the symmetry: C2/m. For the energy of formation, the calculation gives -0.031 eV per atom.

(5)
Entry from Alexandria via LeMat-Bulk: a relaxed structure of Pa2ReTc (GGA-PBE).

Cell: 3.4505 3.4505 6.8931 Å, 90.00 90.00 90.00°
Last column: nearest neighbours and their distance in Å.
Element x y z (fractional)
Pa 0.0000 0.0000 0.2490  4 Tc 2.98, 4 Re 2.99
Pa 0.0000 0.0000 0.7510  4 Tc 2.98, 4 Re 2.99
Re 0.5000 0.5000 0.5000  8 Pa 2.99
Tc 0.5000 0.5000 0.0000  8 Pa 2.98

Summary:
As for the symmetry: P4/mmm. For the energy of formation, the calculation gives -0.068 eV per atom. Its offset from the most stable computed form is 0 meV per atom.

(6)
Entry from Alexandria via LeMat-Bulk: a relaxed structure of PaRe8Tc4 (GGA-PBE).

Cell: 9.5276 9.5276 9.5276 Å, 33.40 33.40 33.40°
Last column: nearest neighbours and their distance in Å.
Element x y z (fractional)
Pa 0.0000 0.0000 0.0000  6 Re 2.81
Re 0.2500 0.2500 0.2500  6 Re 2.74, 3 Tc 2.75
Re 0.2549 0.7445 0.7445  6 Re 2.68-2.79, 3 Tc 2.68-2.71, 1 Pa 2.81
Re 0.2555 0.2555 0.7451  6 Re 2.68-2.79, 3 Tc 2.68-2.71, 1 Pa 2.81
Re 0.2555 0.7451 0.2555  6 Re 2.68-2.79, 3 Tc 2.68-2.71, 1 Pa 2.81
Re 0.7445 0.2549 0.7445  6 Re 2.68-2.79, 3 Tc 2.68-2.71, 1 Pa 2.81
Re 0.7445 0.7445 0.2549  6 Re 2.68-2.79, 3 Tc 2.68-2.71, 1 Pa 2.81
Re 0.7451 0.2555 0.2555  6 Re 2.68-2.79, 3 Tc 2.68-2.71, 1 Pa 2.81
Re 0.7500 0.7500 0.7500  6 Re 2.74, 3 Tc 2.75
Tc 0.0000 0.0000 0.5000  6 Re 2.71-2.75, 6 Tc 2.74
Tc 0.0000 0.5000 0.0000  6 Re 2.71-2.75, 6 Tc 2.74
Tc 0.5000 0.0000 0.0000  6 Re 2.71-2.75, 6 Tc 2.74
Tc 0.5000 0.5000 0.5000  6 Re 2.68, 6 Tc 2.74

Summary:
As for the symmetry: R-3m. For the energy of formation, the calculation gives 0.414 eV per atom.

(7)
Entry from Alexandria via LeMat-Bulk: a relaxed structure of Pa8ReTc5 (GGA-PBE).

Cell: 7.3662 7.3662 7.3662 Å, 108.83 108.83 110.75°
Last column: nearest neighbours and their distance in Å.
Element x y z (fractional)
Pa 0.2584 0.5082 0.1257  2 Tc 2.71-2.73, 1 Re 2.79
Pa 0.3735 0.1159 0.3648  3 Tc 2.71-2.76
Pa 0.3825 0.1327 0.8743  2 Tc 2.71-2.73, 1 Re 2.79
Pa 0.4918 0.6175 0.7502  2 Tc 2.71-2.73, 1 Re 2.79
Pa 0.7511 0.0087 0.6352  3 Tc 2.71-2.76
Pa 0.8673 0.7416 0.2498  2 Tc 2.71-2.73, 1 Re 2.79
Pa 0.8841 0.2489 0.2575  3 Tc 2.71-2.76
Pa 0.9913 0.6265 0.7425  3 Tc 2.71-2.76
Re 0.2500 0.7500 0.5000  8 Pa 2.79-3.11
Tc 0.0000 0.0000 0.0000  4 Pa 2.76
Tc 0.1230 0.2348 0.6153  4 Pa 2.71-2.74
Tc 0.4924 0.8770 0.1118  4 Pa 2.71-2.74
Tc 0.6195 0.5076 0.3847  4 Pa 2.71-2.74
Tc 0.7652 0.3805 0.8882  4 Pa 2.71-2.74

Summary:
As for the symmetry: I-4. For the energy of formation, the calculation gives -0.114 eV per atom.

(8)
Entry from Alexandria via LeMat-Bulk: a relaxed structure of PaReTc (GGA-PBE).

Cell: 8.5950 5.6678 5.6678 Å, 53.80 90.00 90.00°
Last column: nearest neighbours and their distance in Å.
Element x y z (fractional)
Pa 0.1783 0.0000 0.0000  7 Tc 2.99-3.22, 3 Pa 3.07-3.30, 4 Re 3.12-3.15
Pa 0.3205 0.6665 0.6665  5 Tc 2.99-3.21, 3 Pa 3.09-3.30, 6 Re 3.14-3.24
Pa 0.6795 0.6665 0.6665  5 Tc 2.99-3.21, 3 Pa 3.09-3.30, 6 Re 3.14-3.24
Pa 0.8217 0.0000 0.0000  7 Tc 2.99-3.22, 3 Pa 3.07-3.30, 4 Re 3.12-3.15
Re 0.2483 0.3342 0.3342  4 Tc 2.66-2.78, 2 Re 2.66
Re 0.5000 0.1613 0.6717  4 Re 2.51-2.66, 1 Tc 2.77
Re 0.5000 0.6717 0.1613  4 Re 2.51-2.66, 1 Tc 2.77
Re 0.7517 0.3342 0.3342  4 Tc 2.66-2.78, 2 Re 2.66
Tc 0.0000 0.5026 0.5026  2 Re 2.73, 4 Tc 2.78-2.89, 4 Pa 2.99
Tc 0.0000 0.5055 0.9910  3 Tc 2.49-2.78, 2 Re 2.66
Tc 0.0000 0.9910 0.5055  3 Tc 2.49-2.78, 2 Re 2.66
Tc 0.5000 0.1608 0.1608  6 Re 2.77-2.90, 4 Pa 2.99

Summary:
As for the symmetry: Amm2. For the energy of formation, the calculation gives -0.195 eV per atom. Its offset from the most stable computed form is 0 meV per atom.

(9)
Entry from Alexandria via LeMat-Bulk: a relaxed structure of PaReTc (GGA-PBE).

Cell: 4.8797 4.8797 4.8797 Å, 135.35 135.35 64.99°
Last column: nearest neighbours and their distance in Å.
Element x y z (fractional)
Pa 0.0000 0.0000 0.0000  1 Tc 2.49, 1 Re 2.56
Re 0.6888 0.6888 0.0000  1 Pa 2.56, 4 Tc 2.78
Tc 0.3020 0.3020 0.0000  1 Pa 2.49, 4 Re 2.78

Summary:
As for the symmetry: I4mm. For the energy of formation, the calculation gives 0.162 eV per atom. Its offset from the most stable computed form is 357 meV per atom.

(10)
Entry from Alexandria via LeMat-Bulk: a relaxed structure of PaRe5Tc (GGA-PBE).

Cell: 8.5608 5.1976 10.8378 Å, 90.00 90.00 90.00°
Last column: nearest neighbours and their distance in Å.
Element x y z (fractional)
Pa 0.2485 0.2500 0.0586  5 Re 2.84-3.06
Pa 0.2515 0.7500 0.5586  5 Re 2.84-3.06
Pa 0.7485 0.2500 0.4414  5 Re 2.84-3.06
Pa 0.7515 0.7500 0.9414  5 Re 2.84-3.06
Re 0.0619 0.7500 0.0766  1 Tc 2.57, 2 Re 2.75-2.76
Re 0.0653 0.0089 0.3108  6 Re 2.51-2.74, 1 Tc 2.75
Re 0.0653 0.4911 0.3108  6 Re 2.51-2.74, 1 Tc 2.75
Re 0.1233 0.2500 0.5275  6 Re 2.62-2.75, 1 Tc 2.82, 2 Pa 2.84
Re 0.1894 0.2500 0.7633  6 Re 2.55-2.76, 2 Tc 2.79
Re 0.3106 0.7500 0.2633  6 Re 2.55-2.76, 2 Tc 2.79
Re 0.3767 0.7500 0.0275  6 Re 2.62-2.75, 1 Tc 2.82, 2 Pa 2.84
Re 0.4347 0.5089 0.8108  6 Re 2.51-2.74, 1 Tc 2.75
Re 0.4347 0.9911 0.8108  6 Re 2.51-2.74, 1 Tc 2.75
Re 0.4381 0.2500 0.5766  1 Tc 2.57, 2 Re 2.75-2.76
Re 0.5619 0.7500 0.4234  1 Tc 2.57, 2 Re 2.75-2.76
Re 0.5653 0.0089 0.1892  6 Re 2.51-2.74, 1 Tc 2.75
Re 0.5653 0.4911 0.1892  6 Re 2.51-2.74, 1 Tc 2.75
Re 0.6233 0.2500 0.9725  6 Re 2.62-2.75, 1 Tc 2.82, 2 Pa 2.84
Re 0.6894 0.2500 0.7367  6 Re 2.55-2.76, 2 Tc 2.79
Re 0.8106 0.7500 0.2367  6 Re 2.55-2.76, 2 Tc 2.79
Re 0.8767 0.7500 0.4725  6 Re 2.62-2.75, 1 Tc 2.82, 2 Pa 2.84
Re 0.9347 0.5089 0.6892  6 Re 2.51-2.74, 1 Tc 2.75
Re 0.9347 0.9911 0.6892  6 Re 2.51-2.74, 1 Tc 2.75
Re 0.9381 0.2500 0.9234  1 Tc 2.57, 2 Re 2.75-2.76
Tc 0.1380 0.7500 0.8476  8 Re 2.57-2.86
Tc 0.3620 0.2500 0.3476  8 Re 2.57-2.86
Tc 0.6380 0.7500 0.6524  8 Re 2.57-2.86
Tc 0.8620 0.2500 0.1524  8 Re 2.57-2.86

Summary:
As for the symmetry: Pnma. For the energy of formation, the calculation gives 0.041 eV per atom.

(11)
Entry from Alexandria via LeMat-Bulk: a relaxed structure of PaReTc (GGA-PBE).

Cell: 4.5630 4.5630 2.9233 Å, 90.00 90.00 120.00°
Last column: nearest neighbours and their distance in Å.
Element x y z (fractional)
Pa 0.0000 0.0000 0.0000  3 Tc 2.74, 3 Re 2.75, 2 Pa 2.92
Re 0.3333 0.6667 0.2692  3 Pa 2.75, 2 Re 2.92, 6 Tc 2.98-3.04
Tc 0.6667 0.3333 0.7479  3 Pa 2.74, 2 Tc 2.92, 6 Re 2.98-3.04

Summary:
As for the symmetry: P3m1. For the energy of formation, the calculation gives 0.194 eV per atom. Its offset from the most stable computed form is 389 meV per atom.

(12)
Entry from Alexandria via LeMat-Bulk: a relaxed structure of ThPaReTc (GGA-PBE).

Cell: 4.9713 4.9713 4.9713 Å, 60.00 60.00 60.00°
Last column: nearest neighbours and their distance in Å.
Element x y z (fractional)
Th 0.0000 0.0000 0.0000  4 Tc 3.04, 4 Re 3.04
Pa 0.5000 0.5000 0.5000  4 Tc 3.04, 4 Re 3.04
Re 0.2500 0.2500 0.2500  4 Th 3.04, 4 Pa 3.04
Tc 0.7500 0.7500 0.7500  4 Th 3.04, 4 Pa 3.04

Summary:
As for the symmetry: F-43m. For the energy of formation, the calculation gives 0.045 eV per atom.

(13)
Entry from Alexandria via LeMat-Bulk: a relaxed structure of PaTiReTc (GGA-PBE).

Cell: 4.6486 4.6486 4.6486 Å, 60.00 60.00 60.00°
Last column: nearest neighbours and their distance in Å.
Element x y z (fractional)
Pa 0.0000 0.0000 0.0000  4 Re 2.85, 4 Tc 2.85
Ti 0.5000 0.5000 0.5000  4 Tc 2.85, 4 Re 2.85
Re 0.2500 0.2500 0.2500  4 Ti 2.85, 4 Pa 2.85
Tc 0.7500 0.7500 0.7500  4 Ti 2.85, 4 Pa 2.85

Summary:
As for the symmetry: F-43m. For the energy of formation, the calculation gives -0.243 eV per atom.